Pm2Nd2Dy15, optimized geometry, DFT PBE; formation energy from the elements = 0.27 eV per atom; symmetry = R-3m (166); uncorrected energy = -4.3612 eV per atom
1.0
8.5616 -0.3667 1.5722
1.2434 8.4787 1.5722
-0.4432 -0.3667 8.6934
Pm Nd Dy
2 2 15
Cartesian
6.0957 5.0433 7.7080
3.2660 2.7021 4.1298
8.3135 6.8781 10.5125
1.0482 0.8672 1.3254
0.6217 4.2394 0.7861
-0.2216 -0.1833 4.3467
4.2808 -0.1833 0.7861
2.6377 -0.3667 6.2570
6.0577 2.6597 1.5722
0.6663 5.4524 4.0087
3.7472 5.4524 1.5722
0.1338 2.6597 6.2570
5.4807 -0.3667 4.0087
3.7160 6.5984 4.6989
2.9183 2.4144 8.0673
7.1776 2.4144 4.6989
5.6457 1.1470 7.1390
6.4434 5.3309 3.7705
2.1841 5.3309 7.1390

=====

PmNd6Dy3, optimized geometry, DFT PBE; formation energy from the elements = 0.14 eV per atom; symmetry = Cmc2_1 (36); distance to the lowest polymorph of the same formula = 15.7 meV/atom; uncorrected energy = -4.5767 eV per atom
1.0
6.3920 0.0000 0.0000
0.0000 11.0085 -1.7121
0.0000 -4.1254 10.3488
Pm Nd Dy
2 12 6
Cartesian
0.7054 -1.1887 8.0084
3.9014 8.0717 0.6284
0.3195 5.2131 5.2895
3.5155 3.9928 6.2620
2.3778 1.8986 8.8594
5.5738 8.2123 3.8277
2.3747 10.4629 -1.2773
4.1435 0.1229 6.9631
0.9474 6.7601 1.6736
5.5707 -3.5798 9.9140
2.3778 -1.3293 4.8091
5.5738 4.9844 -0.2226
0.3195 2.8902 2.3748
3.5155 1.6700 3.3473
2.9537 7.4457 5.7409
6.1497 3.9346 8.5390
0.5568 1.6825 5.7202
3.7528 5.2005 2.9166
6.1497 -0.5626 2.8959
2.9537 2.9484 0.0978

=====

PmNd2Dy8, optimized geometry, DFT PBE; formation energy from the elements = 0.16 eV per atom; symmetry = C2/m (12); distance to the lowest polymorph of the same formula = 47.1 meV/atom; uncorrected energy = -4.4854 eV per atom
1.0
-2.4785 -4.4505 -2.2934
7.6356 -0.2462 -6.6450
9.2245 -4.0646 -0.9522
Pm Nd Dy
1 2 8
Cartesian
0.0000 0.0000 0.0000
2.9414 -4.5529 -3.8748
11.4402 -4.2084 -6.0158
5.9444 -3.6711 -2.0930
5.2032 -1.8900 -4.7484
8.4372 -5.0903 -7.7977
8.6102 -3.4093 -4.6900
9.1784 -6.8714 -5.1422
2.5564 -1.8404 -1.9479
11.8252 -6.9210 -7.9427
5.7714 -5.3520 -5.2007

=====

Pm5NdDy4, optimized geometry, DFT PBE; formation energy from the elements = 0.04 eV per atom; symmetry = C2/m (12); distance to the lowest polymorph of the same formula = 0.0 meV/atom; uncorrected energy = -4.6569 eV per atom
1.0
3.4935 -0.0001 -0.7095
0.0858 11.5116 0.4200
-0.1061 2.5168 8.4280
Pm Nd Dy
5 1 4
Cartesian
0.7227 5.4948 3.5555
0.7025 11.5502 3.4542
2.7706 2.4781 4.6843
1.7896 5.7557 -0.1448
2.7505 8.5335 4.5830
1.7467 -0.0001 -0.3548
2.1087 2.8662 1.4275
3.1403 5.4607 6.4937
1.3645 11.1621 6.7110
0.3329 8.5676 1.6448

=====

Pm3Nd8Dy3, optimized geometry, DFT PBE; formation energy from the elements = 0.11 eV per atom; symmetry = Immm (71); distance to the lowest polymorph of the same formula = 10.6 meV/atom; uncorrected energy = -4.6177 eV per atom
1.0
5.7222 0.0000 0.0000
2.8611 9.0142 -2.8382
2.8611 -0.2768 9.4464
Pm Nd Dy
3 8 3
Cartesian
5.7222 4.3687 3.3041
5.7222 1.7003 1.2859
5.7222 7.0372 5.3223
5.7222 0.9028 5.0241
5.7222 7.8346 1.5841
5.7222 5.0801 -0.4991
5.7222 3.6573 7.1074
8.5833 6.7564 3.1003
2.8611 1.9810 3.5079
8.5833 4.8227 5.6571
2.8611 3.9147 0.9511
2.8611 0.0000 0.0000
2.8611 7.3203 -0.5985
2.8611 1.4171 7.2068

=====

Pm8Nd3Dy2, optimized geometry, DFT PBE; formation energy from the elements = 0.15 eV per atom; symmetry = C2/m (12); distance to the lowest polymorph of the same formula = 0.0 meV/atom; uncorrected energy = -4.5771 eV per atom
1.0
-3.6794 3.3194 -3.7731
1.5474 -2.7833 -8.2992
-7.5865 -4.5373 -0.9353
Pm Nd Dy
8 3 2
Cartesian
-4.1491 -3.3458 -5.9433
-5.5694 -0.6554 -7.0643
-4.4276 2.0164 -5.0116
-5.2909 -6.0177 -7.9960
-2.2281 0.2753 -7.3498
-6.6745 -0.5786 -3.7650
-3.0440 -3.4227 -9.2426
-7.4904 -4.2765 -5.6578
-1.8397 1.6597 -1.8866
-5.3639 -4.1105 -2.7272
-0.6752 -3.2101 -6.5073
-3.0441 -0.9364 -3.9988
-6.6744 -3.0649 -9.0088

=====

Result set for M_tot: 0.0000; 0.0000; 0.0000; 0.0000; 0.0000; 0.0000 μB/atom, one per record in the order listed.
Result set for mass density: 7.76; 7.28; 7.72; 7.55; 7.14; 7.09 Mg/m³, one per record in the order listed.